Entry 1:
A plane-wave DFT calculation with GGA-PBEsol was carried out for crystalline BiPd2O4 at its relaxed geometry.

Cell: 5.6406 6.0689 6.3814 Å, 114.62 95.93 111.58°
With the nearest neighbours (Å) after each atom.
Atoms (fractional coordinates):
1 O 0.1595 0.1418 0.3565  2 Pd 2.03-2.04
2 O 0.5216 0.8723 0.2456  2 Pd 2.03-2.09
3 O 0.1222 0.3529 0.0106  2 Pd 1.96-2.01
4 O 0.4784 0.1277 0.7544  2 Pd 2.03-2.09
5 O 0.8778 0.6471 0.9894  2 Pd 1.96-2.01
6 O 0.6455 0.3952 0.2281  3 Pd 1.96-2.03
7 O 0.3545 0.6048 0.7719  3 Pd 1.96-2.03
8 O 0.8405 0.8582 0.6435  2 Pd 2.03-2.04
9 Pd 0.5000 0.5000 0.0000  6 O 2.01-2.09
10 Pd 0.0000 0.0000 0.0000  4 O 1.96-2.03
11 Pd 0.5000 0.0000 0.0000  4 O 1.99-2.03
12 Pd 0.5000 0.5000 0.5000  4 O 1.96-2.04
13 Bi 0.1385 0.7559 0.3588  5 O 2.31-2.49
14 Bi 0.8615 0.2441 0.6412  5 O 2.31-2.49

Computed properties:
* crystal system: triclinic
* ΔE_f (raw): -0.810 eV per atom



Entry 2:
A plane-wave DFT calculation with GGA-PBEsol was carried out for crystalline MgCoI3 at its relaxed geometry.

Cell: 5.1950 5.1950 5.1950 Å, 90.00 90.00 90.00°
With the nearest neighbours (Å) after each atom.
Atoms (fractional coordinates):
1 Mg 0.5000 0.5000 0.5000  12 I 3.67
2 I 0.0000 0.0000 0.5000  2 Co 2.60
3 I 0.5000 0.0000 0.0000  2 Co 2.60
4 I 0.0000 0.5000 0.0000  2 Co 2.60
5 Co 0.0000 0.0000 0.0000  6 I 2.60

Computed properties:
* crystal system: cubic
* ΔE_f (raw): 0.037 eV per atom



Entry 3:
A plane-wave DFT calculation with GGA-PBEsol was carried out for crystalline Ta2GaSiO at its relaxed geometry.

Cell: 3.5711 4.8552 4.8552 Å, 90.00 90.00 90.00°
With the nearest neighbours (Å) after each atom.
Atoms (fractional coordinates):
1 Ga 0.0000 0.0000 0.0000  2 O 1.79
2 Ta 0.0000 0.0000 0.5000  2 Ga 2.43
3 Ta 0.0000 0.5000 0.0000  2 Ga 2.43
4 Si 0.5000 0.5000 0.5000  8 Ta 3.01
5 O 0.5000 0.0000 0.0000  2 Ga 1.79

Computed properties:
* crystal system: tetragonal
* ΔE_f (raw): 0.820 eV per atom



Entry 4:
A plane-wave DFT calculation with GGA-PBEsol was carried out for crystalline CsOF3 at its relaxed geometry.

Cell: 5.6305 6.2532 6.2616 Å, 64.39 89.39 87.51°
With the nearest neighbours (Å) after each atom.
Atoms (fractional coordinates):
1 F 0.6553 0.0237 0.2651  2 F 1.67-1.76
2 F 0.1541 0.7267 0.1714  1 O 1.90
3 F 0.6802 0.7389 0.4593  1 F 1.67
4 F 0.6373 0.3204 0.0489  1 F 1.76
5 F 0.2355 0.2053 0.6821  1 O 1.72
6 F 0.1447 0.7183 0.7506  1 O 1.87
7 O 0.1916 0.6329 0.5018  1 O 1.20
8 O 0.3483 0.4830 0.5653  1 O 1.20
9 Cs 0.1415 0.2278 0.1820  9 F 2.92-3.23
10 Cs 0.6506 0.8267 0.8992  8 F 2.89-3.22

Computed properties:
* crystal system: triclinic
* ΔE_f (raw): -1.216 eV per atom



Entry 5:
A plane-wave DFT calculation with GGA-PBEsol was carried out for crystalline CuTeAu2 at its relaxed geometry.

Cell: 3.5685 3.5685 5.6423 Å, 90.00 90.00 89.99°
With the nearest neighbours (Å) after each atom.
Atoms (fractional coordinates):
1 Au 0.0000 0.0000 0.9777  1 Cu 2.65, 4 Au 2.84
2 Au 0.5000 0.5000 0.7465  2 Te 2.70-2.94, 4 Au 2.84, 4 Cu 2.86
3 Te 0.5000 0.5000 0.2683  6 Au 2.70-3.01, 4 Cu 2.86
4 Cu 0.0000 0.0000 0.5075  5 Au 2.65-2.86, 4 Te 2.86

Computed properties:
* crystal system: tetragonal
* ΔE_f (raw): 0.161 eV per atom



Entry 6:
A plane-wave DFT calculation with GGA-PBEsol was carried out for crystalline CaMg3Zn at its relaxed geometry.

Cell: 6.1343 6.1343 6.1343 Å, 90.00 90.00 90.00°
With the nearest neighbours (Å) after each atom.
Atoms (fractional coordinates):
1 Ca 0.0000 0.0000 0.0000  6 Mg 3.07
2 Mg 0.5000 0.0000 0.0000  2 Ca 3.07
3 Mg 0.0000 0.5000 0.0000  2 Ca 3.07
4 Mg 0.0000 0.0000 0.5000  2 Ca 3.07
5 Zn 0.5000 0.5000 0.5000  12 Mg 4.34

Computed properties:
* crystal system: cubic
* energy of formation from the pure elements: 1.06 eV/atom
* relative energy among the computed polymorphs: 1116 meV per atom



Entry 7:
A plane-wave DFT calculation with GGA-PBEsol was carried out for crystalline Y2Al2Ag at its relaxed geometry.

Cell: 4.6077 6.9102 6.9102 Å, 90.00 90.00 90.00°
With the nearest neighbours (Å) after each atom.
Atoms (fractional coordinates):
1 Y 0.5000 0.8318 0.3318  6 Al 3.00-3.12, 1 Y 3.29
2 Y 0.5000 0.1682 0.6682  6 Al 3.00-3.12, 1 Y 3.29
3 Y 0.5000 0.3318 0.1682  6 Al 3.00-3.12, 1 Y 3.29
4 Y 0.5000 0.6682 0.8318  6 Al 3.00-3.12, 1 Y 3.29
5 Ag 0.0000 0.5000 0.5000  4 Al 2.69
6 Ag 0.0000 0.0000 0.0000  4 Al 2.69
7 Al 0.0000 0.8646 0.6354  1 Al 2.65, 2 Ag 2.69
8 Al 0.0000 0.1354 0.3646  1 Al 2.65, 2 Ag 2.69
9 Al 0.0000 0.6354 0.1354  1 Al 2.65, 2 Ag 2.69
10 Al 0.0000 0.3646 0.8646  1 Al 2.65, 2 Ag 2.69

Computed properties:
* crystal system: tetragonal
* energy of formation from the pure elements: -0.41 eV/atom



Entry 8:
A plane-wave DFT calculation with GGA-PBEsol was carried out for crystalline SiPSe2 at its relaxed geometry.

Cell: 4.5746 4.5746 4.5746 Å, 60.00 60.00 60.00°
With the nearest neighbours (Å) after each atom.
Atoms (fractional coordinates):
1 Se 0.0000 0.0000 0.0000  4 Se 2.80, 4 Si 2.80
2 Se 0.7500 0.7500 0.7500  4 P 2.80, 4 Se 2.80
3 Si 0.2500 0.2500 0.2500  4 Se 2.80, 4 P 2.80
4 P 0.5000 0.5000 0.5000  4 Si 2.80, 4 Se 2.80

Computed properties:
* crystal system: cubic
* relative energy among the computed polymorphs: 318 meV per atom
* ΔE_f (raw): 0.541 eV per atom



Entry 9:
A plane-wave DFT calculation with GGA-PBEsol was carried out for crystalline Hf2P2O9 at its relaxed geometry.

Cell: 5.4331 5.4331 11.8130 Å, 90.00 90.00 105.46°
With the nearest neighbours (Å) after each atom.
Atoms (fractional coordinates):
1 O 0.0652 0.9348 0.1229  1 P 1.51
2 O 0.9852 0.3690 0.0844  1 P 1.57
3 O 0.8690 0.4852 0.5844  1 P 1.57
4 O 0.0000 0.0000 0.5000  2 Hf 1.93
5 O 0.9348 0.0652 0.8771  1 P 1.51
6 O 0.8616 0.1384 0.2734  1 P 1.51
7 O 0.3690 0.9852 0.9156  1 P 1.57
8 O 0.5652 0.4348 0.3771  1 P 1.51
9 O 0.1310 0.5148 0.4156  1 P 1.57
10 O 0.0148 0.6310 0.9156  1 P 1.57
11 O 0.3616 0.6384 0.2266  1 P 1.51
12 O 0.5000 0.5000 0.0000  2 Hf 1.93
13 O 0.1384 0.8616 0.7266  1 P 1.51
14 O 0.6310 0.0148 0.0844  1 P 1.57
15 O 0.5148 0.1310 0.5844  1 P 1.57
16 O 0.4852 0.8690 0.4156  1 P 1.57
17 O 0.4348 0.5652 0.6229  1 P 1.51
18 O 0.6384 0.3616 0.7734  1 P 1.51
19 P 0.8938 0.1062 0.1477  4 O 1.51-1.57
20 P 0.6062 0.3938 0.6477  4 O 1.51-1.57
21 P 0.3938 0.6062 0.3523  4 O 1.51-1.57
22 P 0.1062 0.8938 0.8523  4 O 1.51-1.57
23 Hf 0.2066 0.7934 0.5611  5 O 1.93-2.15
24 Hf 0.7066 0.2934 0.9389  5 O 1.93-2.15
25 Hf 0.7934 0.2066 0.4389  5 O 1.93-2.15
26 Hf 0.2934 0.7066 0.0611  5 O 1.93-2.15

Computed properties:
* crystal system: orthorhombic
* relative energy among the computed polymorphs: 4 meV per atom
* ΔE_f (raw): -2.933 eV per atom



Entry 10:
A plane-wave DFT calculation with GGA-PBEsol was carried out for crystalline Fe2Rh at its relaxed geometry.

Cell: 2.5623 3.8512 7.3456 Å, 90.00 97.75 90.00°
With the nearest neighbours (Å) after each atom.
Atoms (fractional coordinates):
1 Fe 0.3527 0.2500 0.5730  7 Fe 2.38-2.56, 1 Rh 2.50
2 Fe 0.9027 0.2500 0.2617  5 Fe 2.41-2.56, 5 Rh 2.55-2.69
3 Fe 0.0973 0.7500 0.7383  5 Fe 2.41-2.56, 5 Rh 2.55-2.69
4 Fe 0.6473 0.7500 0.4270  7 Fe 2.38-2.56, 1 Rh 2.50
5 Rh 0.7201 0.2500 0.9061  6 Fe 2.50-2.69, 6 Rh 2.56-2.70
6 Rh 0.2799 0.7500 0.0939  6 Fe 2.50-2.69, 6 Rh 2.56-2.70

Computed properties:
* crystal system: monoclinic
* energy of formation from the pure elements: 0.08 eV/atom



Entry 11:
A plane-wave DFT calculation with GGA-PBEsol was carried out for crystalline Y2ZnGa at its relaxed geometry.

Cell: 4.9762 4.9762 4.9762 Å, 60.00 60.00 60.00°
With the nearest neighbours (Å) after each atom.
Atoms (fractional coordinates):
1 Ga 0.5000 0.5000 0.5000  8 Y 3.05
2 Y 0.2500 0.2500 0.2500  4 Zn 3.05, 4 Ga 3.05
3 Y 0.7500 0.7500 0.7500  4 Zn 3.05, 4 Ga 3.05
4 Zn 0.0000 0.0000 0.0000  8 Y 3.05

Computed properties:
* crystal system: cubic
* energy of formation from the pure elements: -0.53 eV/atom



Entry 12:
A plane-wave DFT calculation with GGA-PBEsol was carried out for crystalline YAs2Os at its relaxed geometry.

Cell: 4.3299 4.3579 4.7122 Å, 105.17 90.00 90.00°
With the nearest neighbours (Å) after each atom.
Atoms (fractional coordinates):
1 As 0.5000 0.6083 0.2755  2 Os 2.46
2 As 0.0000 0.8550 0.0200  2 Os 2.32-2.44
3 Os 0.0000 0.7753 0.5145  4 As 2.32-2.46
4 Y 0.5000 0.2614 0.6900  3 As 2.76-3.00, 2 Os 2.99

Computed properties:
* crystal system: monoclinic
* energy of formation from the pure elements: -0.27 eV/atom
* relative energy among the computed polymorphs: 0 meV per atom



Entry 13:
A plane-wave DFT calculation with GGA-PBEsol was carried out for crystalline Ni6SbPt at its relaxed geometry.

Cell: 6.2911 6.2911 10.2770 Å, 90.00 90.00 109.54°
With the nearest neighbours (Å) after each atom.
Atoms (fractional coordinates):
1 Pt 0.0000 0.0000 0.2536  12 Ni 2.53-2.61
2 Pt 0.2521 0.7479 0.5000  12 Ni 2.55-2.59
3 Pt 0.7479 0.2521 0.5000  12 Ni 2.55-2.59
4 Pt 0.0000 0.0000 0.7464  12 Ni 2.53-2.61
5 Ni 0.5000 0.5000 0.5000  2 Sb 2.53, 2 Pt 2.55, 8 Ni 2.58
6 Ni 0.1232 0.3716 0.1266  8 Ni 2.55-2.60, 1 Pt 2.56, 3 Sb 2.57-2.59
7 Ni 0.8786 0.6264 0.3765  8 Ni 2.54-2.59, 3 Pt 2.55-2.56, 1 Sb 2.58
8 Ni 0.5000 0.5000 0.0000  4 Sb 2.56-2.60, 8 Ni 2.59
9 Ni 0.7509 0.2491 0.2518  8 Ni 2.54-2.59, 2 Pt 2.55-2.56, 2 Sb 2.58-2.59
10 Ni 0.1214 0.3736 0.6235  8 Ni 2.54-2.59, 3 Pt 2.55-2.56, 1 Sb 2.58
11 Ni 0.3736 0.1214 0.6235  8 Ni 2.54-2.59, 3 Pt 2.55-2.56, 1 Sb 2.58
12 Ni 0.1232 0.3716 0.8734  8 Ni 2.55-2.60, 1 Pt 2.56, 3 Sb 2.57-2.59
13 Ni 0.2491 0.7509 0.2518  8 Ni 2.54-2.59, 2 Pt 2.55-2.56, 2 Sb 2.58-2.59
14 Ni 0.7509 0.2491 0.7482  8 Ni 2.54-2.59, 2 Pt 2.55-2.56, 2 Sb 2.58-2.59
15 Ni 0.8786 0.6264 0.6235  8 Ni 2.54-2.59, 3 Pt 2.55-2.56, 1 Sb 2.58
16 Ni 0.3736 0.1214 0.3765  8 Ni 2.54-2.59, 3 Pt 2.55-2.56, 1 Sb 2.58
17 Ni 0.6284 0.8768 0.8734  8 Ni 2.55-2.60, 1 Pt 2.56, 3 Sb 2.57-2.59
18 Ni 0.3716 0.1232 0.8734  8 Ni 2.55-2.60, 1 Pt 2.56, 3 Sb 2.57-2.59
19 Ni 0.6264 0.8786 0.3765  8 Ni 2.54-2.59, 3 Pt 2.55-2.56, 1 Sb 2.58
20 Ni 0.8768 0.6284 0.8734  8 Ni 2.55-2.60, 1 Pt 2.56, 3 Sb 2.57-2.59
21 Ni 0.2491 0.7509 0.7482  8 Ni 2.54-2.59, 2 Pt 2.55-2.56, 2 Sb 2.58-2.59
22 Ni 0.0000 0.0000 0.5000  4 Pt 2.53-2.59, 8 Ni 2.55
23 Ni 0.6284 0.8768 0.1266  8 Ni 2.55-2.60, 1 Pt 2.56, 3 Sb 2.57-2.59
24 Ni 0.8768 0.6284 0.1266  8 Ni 2.55-2.60, 1 Pt 2.56, 3 Sb 2.57-2.59
25 Ni 0.0000 0.0000 0.0000  8 Ni 2.56, 2 Sb 2.58, 2 Pt 2.61
26 Ni 0.1214 0.3736 0.3765  8 Ni 2.54-2.59, 3 Pt 2.55-2.56, 1 Sb 2.58
27 Ni 0.6264 0.8786 0.6235  8 Ni 2.54-2.59, 3 Pt 2.55-2.56, 1 Sb 2.58
28 Ni 0.3716 0.1232 0.1266  8 Ni 2.55-2.60, 1 Pt 2.56, 3 Sb 2.57-2.59
29 Sb 0.5000 0.5000 0.2534  12 Ni 2.53-2.60
30 Sb 0.5000 0.5000 0.7466  12 Ni 2.53-2.60
31 Sb 0.7492 0.2508 0.0000  12 Ni 2.56-2.59
32 Sb 0.2508 0.7492 0.0000  12 Ni 2.56-2.59

Computed properties:
* crystal system: orthorhombic
* ΔE_f (raw): -0.114 eV per atom



Entry 14:
A plane-wave DFT calculation with GGA-PBEsol was carried out for crystalline Co2HgRh at its relaxed geometry.

Cell: 3.8107 3.8107 4.5955 Å, 114.50 114.50 90.00°
With the nearest neighbours (Å) after each atom.
Atoms (fractional coordinates):
1 Co 0.7500 0.2500 0.5000  4 Hg 2.66, 4 Rh 2.66, 4 Co 2.69
2 Co 0.2500 0.7500 0.5000  4 Hg 2.66, 4 Rh 2.66, 4 Co 2.69
3 Hg 0.5000 0.5000 0.0000  8 Co 2.66, 4 Rh 2.69
4 Rh 0.0000 0.0000 0.0000  8 Co 2.66, 4 Hg 2.69

Computed properties:
* crystal system: tetragonal
* energy of formation from the pure elements: 0.33 eV/atom



Entry 15:
A plane-wave DFT calculation with GGA-PBEsol was carried out for crystalline Sr4TaFe at its relaxed geometry.

Cell: 6.5998 6.5998 6.5998 Å, 60.00 60.00 60.00°
With the nearest neighbours (Å) after each atom.
Atoms (fractional coordinates):
1 Sr 0.3754 0.8739 0.3754  6 Sr 3.29-3.31
2 Sr 0.8739 0.3754 0.3754  6 Sr 3.29-3.31
3 Sr 0.3754 0.3754 0.3754  6 Sr 3.29-3.31
4 Sr 0.3754 0.3754 0.8739  6 Sr 3.29-3.31
5 Ta 0.7500 0.7500 0.7500  12 Sr 3.87, 4 Fe 4.04
6 Fe 0.0000 0.0000 0.0000  12 Sr 3.87, 4 Ta 4.04

Computed properties:
* crystal system: cubic
* energy of formation from the pure elements: 1.61 eV/atom



Entry 16:
A plane-wave DFT calculation with GGA-PBEsol was carried out for crystalline CuAsOs at its relaxed geometry.

Cell: 2.9989 4.0758 4.0758 Å, 120.00 90.00 90.00°
With the nearest neighbours (Å) after each atom.
Atoms (fractional coordinates):
1 As 0.1671 0.0000 0.0000  3 Os 2.35
2 Os 0.1663 0.6667 0.3333  3 As 2.35
3 Cu 0.6665 0.3333 0.6667  6 As 2.79, 6 Os 2.79, 2 Cu 3.00

Computed properties:
* crystal system: hexagonal
* energy of formation from the pure elements: 0.35 eV/atom



Entry 17:
A plane-wave DFT calculation with GGA-PBEsol was carried out for crystalline RhAu3F at its relaxed geometry.

Cell: 4.8914 4.8914 4.8914 Å, 90.00 90.00 90.00°
With the nearest neighbours (Å) after each atom.
Atoms (fractional coordinates):
1 Au 0.5000 0.0000 0.0000  2 Rh 2.45
2 Au 0.0000 0.5000 0.0000  2 Rh 2.45
3 Au 0.0000 0.0000 0.5000  2 Rh 2.45
4 Rh 0.0000 0.0000 0.0000  6 Au 2.45
5 F 0.5000 0.5000 0.5000  12 Au 3.46

Computed properties:
* crystal system: cubic
* relative energy among the computed polymorphs: 322 meV per atom
* ΔE_f (raw): 1.110 eV per atom



Entry 18:
A plane-wave DFT calculation with GGA-PBEsol was carried out for crystalline Ta5Sb at its relaxed geometry.

Cell: 4.8833 5.3557 5.3557 Å, 120.00 90.00 90.00°
With the nearest neighbours (Å) after each atom.
Atoms (fractional coordinates):
1 Ta 0.5000 0.5000 0.0000  8 Ta 2.68-2.89
2 Ta 0.5000 0.5000 0.5000  8 Ta 2.68-2.89
3 Ta 0.0000 0.6667 0.3333  9 Ta 2.89-3.09, 3 Sb 3.09
4 Ta 0.5000 0.0000 0.5000  8 Ta 2.68-2.89
5 Ta 0.0000 0.3333 0.6667  9 Ta 2.89-3.09, 3 Sb 3.09
6 Sb 0.0000 0.0000 0.0000  6 Ta 3.09

Computed properties:
* crystal system: hexagonal
* relative energy among the computed polymorphs: 694 meV per atom
* ΔE_f (raw): 0.645 eV per atom



Entry 19:
A plane-wave DFT calculation with GGA-PBEsol was carried out for crystalline Tm2AgRu at its relaxed geometry.

Cell: 4.8058 4.8058 4.8058 Å, 60.00 60.00 60.00°
With the nearest neighbours (Å) after each atom.
Atoms (fractional coordinates):
1 Ag 0.5000 0.5000 0.5000  8 Tm 2.94
2 Tm 0.7500 0.7500 0.7500  4 Ru 2.94, 4 Ag 2.94
3 Tm 0.2500 0.2500 0.2500  4 Ag 2.94, 4 Ru 2.94
4 Ru 0.0000 0.0000 0.0000  8 Tm 2.94

Computed properties:
* crystal system: cubic
* energy of formation from the pure elements: -0.39 eV/atom



Entry 20:
A plane-wave DFT calculation with GGA-PBEsol was carried out for crystalline SbPb3 at its relaxed geometry.

Cell: 5.4519 5.4519 5.4519 Å, 60.00 60.00 60.00°
With the nearest neighbours (Å) after each atom.
Atoms (fractional coordinates):
1 Pb 0.2500 0.2500 0.2500  4 Pb 3.34, 4 Sb 3.34
2 Pb 0.5000 0.5000 0.5000  8 Pb 3.34
3 Pb 0.7500 0.7500 0.7500  4 Pb 3.34, 4 Sb 3.34
4 Sb 0.0000 0.0000 0.0000  8 Pb 3.34

Computed properties:
* crystal system: cubic
* ΔE_f (raw): 0.071 eV per atom



no.,spin magnetization (μB per formula unit)
1,0.0
2,0.0
3,0.0
4,0.0
5,0.0
6,0.0
7,0.0
8,0.0
9,0.0
10,5.0
11,0.0
12,0.0
13,1.3
14,3.9
15,8.0
16,0.0
17,1.2
18,0.0
19,0.0
20,0.0